Compound: Hf2AlNi2
Source: the Alexandria database
Functional: GGA-PBE
Structure: optimized geometry

POSCAR file:
```
Hf2AlNi2
1.0
-2.143 -6.642 -0.452
1.835 -1.046 6.667
-3.010 0.905 0.970
Ni Hf Al
4 4 2
direct
0.373 0.873 0.000
0.873 0.627 0.000
0.627 0.127 0.000
0.127 0.373 0.000
0.171 0.671 0.500
0.671 0.829 0.500
0.829 0.329 0.500
0.329 0.171 0.500
0.000 0.000 0.000
0.500 0.500 0.000
```

## Properties
* ΔE_f: -0.58 eV per atom


Compound: NaBeGa2Te
Source: the Alexandria database
Functional: GGA-PBE
Structure: optimized geometry

POSCAR file:
```
NaBeGa2Te
1.0
-1.450 3.978 1.598
1.028 -1.750 5.289
4.207 1.643 -0.274
Na Te Ga Be
1 1 2 1
direct
0.500 0.500 0.500
0.000 0.500 0.000
0.000 0.000 0.500
0.500 0.000 0.000
0.000 0.000 0.000
```

## Properties
* electronic total energy: -2.8546 eV/atom


Compound: ScCrMo3
Source: the Alexandria database
Functional: GGA-PBE
Structure: optimized geometry

POSCAR file:
```
ScCrMo3
1.0
4.528 0.000 0.000
0.000 4.528 0.000
0.000 0.000 4.528
Sc Cr Mo
1 1 3
direct
0.000 0.000 0.000
0.500 0.500 0.500
0.000 0.500 0.000
0.000 0.000 0.500
0.500 0.000 0.000
```

## Properties
* energy above the lowest structure with this stoichiometry: 1.416 eV/atom
* ΔE_f: 2.28 eV per atom


Compound: Li2ErPd
Source: the Alexandria database
Functional: GGA-PBE
Structure: optimized geometry

POSCAR file:
```
Li2ErPd
1.0
3.069 0.000 0.000
1.534 2.657 0.000
1.534 0.886 10.077
Li Pd Er
2 1 1
direct
0.103 0.103 0.692
0.897 0.897 0.308
0.500 0.500 0.500
0.000 0.000 0.000
```

## Properties
* ΔE_f: 0.05 eV per atom


Compound: BaCd2SbO
Source: the Alexandria database
Functional: GGA-PBE
Structure: optimized geometry

POSCAR file:
```
BaCd2SbO
1.0
-0.443 -3.623 -2.381
5.746 -0.946 4.358
-5.181 -3.375 6.099
Ba Cd Sb O
2 4 2 2
direct
0.468 0.936 0.750
0.532 0.064 0.250
0.161 0.322 0.954
0.839 0.678 0.046
0.161 0.322 0.546
0.839 0.678 0.454
0.730 0.461 0.750
0.270 0.539 0.250
0.000 0.000 0.000
0.000 0.000 0.500
```

## Properties
* electronic total energy: -3.4120 eV/atom


Compound: MgAu
Source: the Alexandria database
Functional: GGA-PBE
Structure: optimized geometry

POSCAR file:
```
MgAu
1.0
4.690 0.000 0.000
2.347 4.060 0.000
2.347 1.354 3.828
Au Mg
2 2
direct
0.125 0.125 0.125
0.875 0.875 0.875
0.375 0.375 0.375
0.625 0.625 0.625
```

## Properties
* ΔE_f: -0.42 eV per atom


Compound: Na2CeAsS4
Source: the Alexandria database
Functional: GGA-PBE
Structure: optimized geometry

POSCAR file:
```
Na2CeAsS4
1.0
-0.135 4.019 -0.313
-5.021 -0.529 -4.623
-2.794 0.405 6.407
Na Ce As S
2 1 1 4
direct
0.500 0.000 0.500
0.000 0.500 0.500
0.500 0.500 0.000
0.000 0.000 0.000
0.500 0.224 0.218
0.500 0.776 0.782
0.000 0.242 0.773
0.000 0.758 0.227
```

## Properties
* electronic total energy: -4.8155 eV/atom


Compound: Eu3ScH
Source: the Alexandria database
Functional: GGA-PBE
Structure: optimized geometry

POSCAR file:
```
Eu3ScH
1.0
5.186 0.000 0.000
0.000 5.186 0.000
0.000 0.000 5.186
Eu Sc H
3 1 1
direct
0.000 0.500 0.000
0.000 0.000 0.500
0.500 0.000 0.000
0.500 0.500 0.500
0.000 0.000 0.000
```

## Properties
* electronic total energy: -8.1710 eV/atom


Compound: ScIr2Os
Source: the Alexandria database
Functional: GGA-PBE
Structure: optimized geometry

POSCAR file:
```
ScIr2Os
1.0
-4.580 -0.196 -1.291
1.769 -4.415 -0.263
-0.740 -0.457 2.692
Ir Os Sc
2 1 1
direct
0.000 0.000 0.000
0.500 0.500 0.000
0.500 0.000 0.500
0.000 0.500 0.500
```

## Properties
* energy above the lowest structure with this stoichiometry: 0.000 eV/atom
* ΔE_f: -0.39 eV per atom


Compound: Ba2NaBr2
Source: the Alexandria database
Functional: GGA-PBE
Structure: optimized geometry

POSCAR file:
```
Ba2NaBr2
1.0
-8.418 -5.173 -0.707
5.002 -7.607 -3.903
0.600 -1.474 3.641
Na Ba Br
2 4 4
direct
0.000 0.000 0.000
0.500 0.500 0.000
0.337 0.837 0.000
0.837 0.663 0.000
0.663 0.163 0.000
0.163 0.337 0.000
0.129 0.629 0.500
0.629 0.871 0.500
0.871 0.371 0.500
0.371 0.129 0.500
```

## Properties
* energy above the lowest structure with this stoichiometry: 0.150 eV/atom


Compound: RePdSeN2
Source: the Alexandria database
Functional: GGA-PBE
Structure: optimized geometry

POSCAR file:
```
RePdSeN2
1.0
-3.034 -2.334 0.168
1.999 -2.729 -1.799
1.652 -1.816 4.591
Re Se Pd N
1 1 1 2
direct
0.500 0.500 0.500
0.000 0.000 0.500
0.000 0.000 0.000
0.000 0.500 0.000
0.500 0.000 0.000
```

## Properties
* energy above the lowest structure with this stoichiometry: 1.642 eV/atom


Compound: Ho4CdRu3
Source: the Alexandria database
Functional: GGA-PBE
Structure: optimized geometry

POSCAR file:
```
Ho4CdRu3
1.0
-2.446 0.206 4.188
0.412 -7.019 0.587
8.364 0.895 4.842
Ru Ho Cd
6 8 2
direct
0.000 0.000 0.000
0.000 0.000 0.500
0.500 0.000 0.750
0.500 0.000 0.250
0.500 0.500 0.750
0.500 0.500 0.250
0.500 0.766 0.000
0.500 0.766 0.500
0.500 0.234 0.000
0.500 0.234 0.500
0.000 0.766 0.750
0.000 0.766 0.250
0.000 0.234 0.250
0.000 0.234 0.750
0.000 0.500 0.000
0.000 0.500 0.500
```

## Properties
* ΔE_f: -0.37 eV per atom


Compound: ScPdSe2
Source: the Alexandria database
Functional: GGA-PBE
Structure: optimized geometry

POSCAR file:
```
ScPdSe2
1.0
2.847 -0.211 3.747
2.121 3.902 1.570
-1.337 1.926 4.086
Sc Se Pd
1 2 1
direct
0.000 0.000 0.000
0.250 0.250 0.250
0.750 0.750 0.750
0.500 0.500 0.500
```

## Properties
* energy above the lowest structure with this stoichiometry: 0.094 eV/atom


Compound: Sr5YSe6
Source: the Alexandria database
Functional: GGA-PBE
Structure: optimized geometry

POSCAR file:
```
Sr5YSe6
1.0
-1.613 0.056 7.407
6.444 0.040 3.994
3.214 6.581 1.945
Y Sr Se
1 5 6
direct
0.000 0.000 0.000
0.500 0.169 0.661
0.000 0.334 0.332
0.500 0.500 0.000
0.000 0.666 0.668
0.500 0.831 0.339
0.759 0.080 0.319
0.241 0.601 0.319
0.242 0.237 0.000
0.758 0.763 0.000
0.759 0.399 0.681
0.241 0.920 0.681
```

## Properties
* electronic total energy: -4.9782 eV/atom


Compound: CrTeRh
Source: the Alexandria database
Functional: GGA-PBE
Structure: optimized geometry

POSCAR file:
```
CrTeRh
1.0
3.049 0.000 0.000
0.000 3.022 0.000
0.000 0.000 11.061
Cr Te Rh
2 2 2
direct
0.000 0.000 0.850
0.000 0.500 0.350
0.500 0.000 0.499
0.500 0.500 0.999
0.500 0.000 0.214
0.500 0.500 0.714
```

## Properties
* electronic total energy: -6.3781 eV/atom


Compound: Er4SnSbC
Source: the Alexandria database
Functional: GGA-PBE
Structure: optimized geometry

POSCAR file:
```
Er4SnSbC
1.0
-2.772 4.006 -4.634
-2.564 -5.375 -3.113
-5.084 -1.441 6.674
Er Sn Sb C
8 2 2 2
direct
0.908 0.250 0.815
0.406 0.750 0.813
0.092 0.750 0.185
0.594 0.250 0.187
0.500 0.500 0.500
0.000 0.000 0.500
0.500 0.000 0.500
0.000 0.500 0.500
0.108 0.250 0.215
0.892 0.750 0.785
0.608 0.750 0.216
0.392 0.250 0.784
0.250 0.750 0.500
0.750 0.250 0.500
```

## Properties
* electronic total energy: -5.8228 eV/atom


Compound: K2BaCd
Source: the Alexandria database
Functional: GGA-PBE
Structure: optimized geometry

POSCAR file:
```
K2BaCd
1.0
7.286 -0.010 0.000
-3.152 6.569 0.000
0.000 0.000 4.542
Ba Cd K
1 1 2
direct
0.500 0.000 0.500
0.000 0.500 0.500
0.000 0.000 0.000
0.500 0.500 0.000
```

## Properties
* ΔE_f: 0.14 eV per atom


Compound: Pm12PrHo6
Source: the Alexandria database
Functional: GGA-PBE
Structure: optimized geometry

POSCAR file:
```
Pm12PrHo6
1.0
-2.301 -3.283 7.666
1.717 -8.028 -2.730
8.137 0.577 2.882
Pm Pr Ho
12 1 6
direct
0.779 0.537 0.433
0.433 0.779 0.537
0.537 0.433 0.779
0.221 0.463 0.567
0.567 0.221 0.463
0.463 0.567 0.221
0.016 0.199 0.362
0.801 0.638 0.984
0.638 0.984 0.801
0.984 0.801 0.638
0.199 0.362 0.016
0.362 0.016 0.199
0.000 0.000 0.000
0.741 0.901 0.302
0.698 0.259 0.099
0.099 0.698 0.259
0.259 0.099 0.698
0.302 0.741 0.901
0.901 0.302 0.741
```

## Properties
* energy above the lowest structure with this stoichiometry: 0.000 eV/atom
* ΔE_f: 0.14 eV per atom


Compound: Tc3AuO
Source: the Alexandria database
Functional: GGA-PBE
Structure: optimized geometry

POSCAR file:
```
Tc3AuO
1.0
5.088 0.000 0.000
0.000 5.088 0.000
0.000 0.000 5.088
Au Tc O
1 3 1
direct
0.000 0.000 0.000
0.000 0.500 0.000
0.000 0.000 0.500
0.500 0.000 0.000
0.500 0.500 0.500
```

## Properties
* energy above the lowest structure with this stoichiometry: 2.530 eV/atom


Compound: Sr2PmReO8
Source: the Alexandria database
Functional: GGA-PBE
Structure: optimized geometry

POSCAR file:
```
Sr2PmReO8
1.0
-2.152 5.013 1.107
-1.714 0.108 -4.099
-6.171 -2.861 0.106
Sr Pm Re O
2 1 1 8
direct
0.504 0.378 0.791
0.496 0.622 0.209
0.000 0.000 0.500
0.000 0.000 0.000
0.008 0.652 0.275
0.746 0.822 0.889
0.779 0.195 0.123
0.992 0.348 0.725
0.254 0.178 0.111
0.221 0.805 0.877
0.566 0.861 0.492
0.434 0.139 0.508
```

## Properties
* electronic total energy: -7.2349 eV/atom